# 1
Compound: SrMgOs2
Source: the Alexandria database
Functional: GGA-PBE
Structure: relaxed

Computed properties:
D(E_F) = 1.271 states/eV/atom
Crystal system = trigonal
Volume = 231 Å³/cell
DFT total energy = -5.68 eV per atom

Structure (CIF):
```
data_SrMgOs2
_symmetry_space_group_name_H-M 'R 3 m'
_symmetry_Int_Tables_number 160
_symmetry_space_group_name_Hall 'R 3 -2"'
_cell_length_a 2.9580
_cell_length_b 2.9580
_cell_length_c 30.5081
_cell_angle_alpha 90.00
_cell_angle_beta 90.00
_cell_angle_gamma 120.00
loop_
_atom_site_label
_atom_site_type_symbol
_atom_site_fract_x
_atom_site_fract_y
_atom_site_fract_z
Sr1 Sr 0.0000 0.0000 0.0000
Mg1 Mg 0.0000 0.0000 0.7728
Os1 Os 0.0000 0.0000 0.2449
Os2 Os 0.0000 0.0000 0.5136
```


# 2
Compound: SrMg2Os
Source: the Alexandria database
Functional: GGA-PBE
Structure: relaxed

Computed properties:
D(E_F) = 0.601 states/eV/atom
Crystal system = tetragonal
Volume = 96 Å³/cell
DFT total energy = -3.69 eV per atom

Structure (CIF):
```
data_SrMg2Os
_symmetry_space_group_name_H-M 'P 4 m m'
_symmetry_Int_Tables_number 99
_symmetry_space_group_name_Hall 'P 4 -2'
_cell_length_a 3.5396
_cell_length_b 3.5396
_cell_length_c 7.6581
_cell_angle_alpha 90.00
_cell_angle_beta 90.00
_cell_angle_gamma 90.00
loop_
_atom_site_label
_atom_site_type_symbol
_atom_site_fract_x
_atom_site_fract_y
_atom_site_fract_z
Sr1 Sr 0.0000 0.0000 0.0000
Mg1 Mg 0.0000 0.0000 0.6006
Mg2 Mg 0.5000 0.5000 0.3768
Os1 Os 0.5000 0.5000 0.7327
```


# 3
Compound: SrMgOs2
Source: the Alexandria database
Functional: GGA-PBE
Structure: relaxed

Computed properties:
D(E_F) = 0.463 states/eV/atom
Crystal system = monoclinic
Volume = 201 Å³/cell
DFT total energy = -6.11 eV per atom

Structure (CIF):
```
data_SrMgOs2
_symmetry_space_group_name_H-M 'C 1 2/m 1'
_symmetry_Int_Tables_number 12
_symmetry_space_group_name_Hall '-C 2y'
_cell_length_a 7.9721
_cell_length_b 4.4298
_cell_length_c 6.3276
_cell_angle_alpha 90.00
_cell_angle_beta 116.09
_cell_angle_gamma 90.00
loop_
_atom_site_label
_atom_site_type_symbol
_atom_site_fract_x
_atom_site_fract_y
_atom_site_fract_z
Sr1 Sr 0.0000 0.0000 0.0000
Mg1 Mg 0.0000 0.5000 0.5000
Os1 Os 0.1862 0.0000 0.5281
```


Q: What is the DFT total energy in the first record?
A: -5.68 eV per atom


Q: The highest volume belongs to which entry?
A: number 1


Q: What is the DFT total energy in the third record?
A: -6.11 eV per atom


Q: Which value of volume does entry 3 give?
A: 201 Å³/cell